Density functional theory data (PBE+U) for a geometry-optimized MnHg2F5 structure.

Results
As for the electronic total energy: -125.20 eV per cell. As for the space group: Pbam, No. 55. For the magnetization, the calculation gives 0.621 μB/atom.

Cell: 6.8388 6.7637 10.0776 Å, 90.00 90.00 90.00°
Each line ends with the local moment (μB).
Positions (direct):
1 Hg 0.5258 0.5002 0.1736  0.00
2 Hg 0.9742 0.5002 0.6736  0.00
3 Hg 0.0258 0.0002 0.3264  0.00
4 Hg 0.4742 0.0002 0.8264  0.00
5 Hg 0.4742 0.4998 0.8264  0.00
6 Hg 0.9742 0.9998 0.6736  0.00
7 Hg 0.5258 0.9998 0.1736  0.00
8 Hg 0.0258 0.4998 0.3264  0.00
9 F 0.0001 0.7500 0.4997  0.00
10 F 0.1493 0.5000 0.0896  0.03
11 F 0.6493 0.5000 0.4104  0.03
12 F 0.1650 0.7500 0.8175  0.01
13 F 0.6650 0.2500 0.6825  0.01
14 F 0.8507 0.5000 0.9104  0.03
15 F 0.1651 0.2500 0.8176  0.01
16 F 0.3349 0.2500 0.3176  0.01
17 F 0.8507 0.0000 0.9104  0.03
18 F 0.4999 0.7500 0.9997  0.00
19 F 0.3507 0.5000 0.5896  0.03
20 F 0.3350 0.7500 0.3175  0.01
21 F 0.3507 0.0000 0.5896  0.03
22 F 0.8349 0.7500 0.1824  0.01
23 F 0.9999 0.2500 0.5003  0.00
24 F 0.1493 0.0000 0.0896  0.03
25 F 0.8350 0.2500 0.1825  0.01
26 F 0.5001 0.2500 0.0003  0.00
27 F 0.6493 0.0000 0.4104  0.03
28 F 0.6651 0.7500 0.6824  0.01
29 Mn 0.5000 0.2500 0.5000  4.69
30 Mn 0.5000 0.7500 0.5000  4.69
31 Mn 0.0000 0.2500 0.0000  4.69
32 Mn 0.0000 0.7500 0.0000  4.69